# 1
## Ho2BrNCl2 (PBE)

Data for a relaxed Ho2BrNCl2 crystal.

Cell: 8.986 8.986 11.114 Å, 123.78 123.78 24.48°
Fractional coordinates of all 12 atoms:
1 Cl 0.326 0.326 0.487
2 Cl 0.791 0.791 0.882
3 Cl 0.674 0.674 0.513
4 Cl 0.209 0.209 0.118
5 Ho 0.863 0.863 0.707
6 Ho 0.422 0.422 0.039
7 Ho 0.578 0.578 0.961
8 Ho 0.137 0.137 0.293
9 N 0.575 0.575 0.158
10 N 0.425 0.425 0.842
11 Br 0.042 0.042 0.739
12 Br 0.958 0.958 0.261

Output
Distance to the lowest polymorph of the same formula ... 0 meV/atom

=====

# 2
## Ho4BrNCl4 (PBE)

Data for a relaxed Ho4BrNCl4 crystal.

Cell: 8.532 8.532 7.935 Å, 103.68 103.68 24.70°
Fractional coordinates of all 10 atoms:
1 Ho 0.643 0.643 0.076
2 Ho 0.357 0.357 0.924
3 Ho 0.001 0.001 0.801
4 Ho 0.999 0.999 0.199
5 Cl 0.829 0.829 0.162
6 Cl 0.171 0.171 0.838
7 Cl 0.835 0.835 0.667
8 Cl 0.165 0.165 0.333
9 N 0.500 0.500 0.000
10 Br 0.500 0.500 0.500

Output
Final energy ... -53.611 eV/cell

=====

Please write out number 1 again, unchanged.
## Ho2BrNCl2 (PBE)

Data for a relaxed Ho2BrNCl2 crystal.

Cell: 8.986 8.986 11.114 Å, 123.78 123.78 24.48°
Fractional coordinates of all 12 atoms:
1 Cl 0.326 0.326 0.487
2 Cl 0.791 0.791 0.882
3 Cl 0.674 0.674 0.513
4 Cl 0.209 0.209 0.118
5 Ho 0.863 0.863 0.707
6 Ho 0.422 0.422 0.039
7 Ho 0.578 0.578 0.961
8 Ho 0.137 0.137 0.293
9 N 0.575 0.575 0.158
10 N 0.425 0.425 0.842
11 Br 0.042 0.042 0.739
12 Br 0.958 0.958 0.261

Output
Distance to the lowest polymorph of the same formula ... 0 meV/atom